{
  "formula": "Li2Ca3Tl4",
  "functional": "GGA-PBE",
  "state": "optimized geometry",
  "magnetic_moment_mub_per_fu": 0.0,
  "polymorph_energy_ev_per_fu": 0.00,
  "final_energy_ev_per_atom": -2.47,
  "delta_e_f_ev_per_atom": -0.328,
  "dos_ef_per_ev_cell": 3.72,
  "lattice": [[5.4296, 0.0000, 0.0000], [-2.7148, 4.6450, -0.6866], [0.0000, -0.0919, 9.6065]],
  "species": ["Tl", "Tl", "Tl", "Tl", "Li", "Li", "Ca", "Ca", "Ca"],
  "fractional_positions": [[0.3143, 0.6287, 0.8918], [0.9460, 0.8919, 0.6461], [0.0540, 0.1081, 0.3539], [0.6857, 0.3713, 0.1082], [0.7244, 0.4487, 0.4072], [0.2756, 0.5513, 0.5928], [0.0000, 0.0000, 0.0000], [0.6289, 0.2578, 0.7499], [0.3711, 0.7422, 0.2501]]
}